CoSeO3 | PBE+U | relaxed

Computed properties:
The value obtained for the energy is -5.58 eV per atom.

The structure in POSCAR format:
```
CoSeO3
1.0
-1.161 -3.329 -4.335
-1.934 -4.466 3.948
-7.964 3.177 -0.307
Se O Co
4 12 4
direct
0.409 0.983 0.038
0.591 0.017 0.538
0.909 0.517 0.538
0.091 0.483 0.038
0.806 0.666 0.379
0.694 0.166 0.379
0.194 0.334 0.879
0.702 0.583 0.678
0.150 0.678 0.603
0.850 0.322 0.103
0.306 0.834 0.879
0.798 0.083 0.678
0.650 0.822 0.103
0.350 0.178 0.603
0.298 0.417 0.178
0.202 0.917 0.178
0.879 0.024 0.212
0.621 0.524 0.212
0.121 0.976 0.712
0.379 0.476 0.712
```